No. 1
VASP calculation (SCAN) on a crystal of TaAl5 relaxed with PBEsol.

Values from the calculation:
- Space group: Cm
- Relative energy among the computed polymorphs: 0 meV per atom
- Energy of formation: -0.81 eV per formula unit
- DOS at the Fermi energy: 0.38 states/eV per atom

Structure (POSCAR):
```
TaAl5
1.0
2.904 0.000 0.000
-1.452 5.181 -0.062
0.000 -1.718 6.459
Al Ta
5 1
Cartesian
0.000 -1.696 6.438
1.452 1.166 2.142
0.000 2.277 4.273
0.000 3.515 1.729
0.000 -0.441 3.937
1.452 0.682 6.095
```

No. 2
VASP calculation (SCAN) on a crystal of In2AgHg relaxed with PBEsol.

Values from the calculation:
- Space group: C2/m
- Energy of formation: 0.18 eV per formula unit
- DOS at the Fermi energy: 0.32 states/eV per atom

Structure (POSCAR):
```
In2AgHg
1.0
3.418 0.000 0.000
-1.709 4.595 0.053
0.000 -1.211 5.542
Hg Ag In
1 1 2
Cartesian
1.709 0.000 0.000
0.000 -0.605 2.771
1.709 1.355 4.094
0.000 2.029 1.502
```

No. 3
VASP calculation (SCAN) on a crystal of SbMoPbW2 relaxed with PBEsol.

Values from the calculation:
- Space group: P4/mmm
- DFT total energy: -55.609 eV per atom
- DOS at the Fermi energy: 0.80 states/eV per atom

Structure (POSCAR):
```
SbMoPbW2
1.0
4.763 0.000 0.000
0.000 4.763 0.000
0.000 0.000 5.191
Pb Sb Mo W
1 1 1 2
Cartesian
0.000 0.000 2.596
2.382 2.382 2.596
0.000 0.000 0.000
0.000 2.382 0.000
2.382 0.000 0.000
```

No. 4
VASP calculation (SCAN) on a crystal of La3YZr relaxed with PBEsol.

Values from the calculation:
- Space group: Pm-3m
- Energy of formation: 2.52 eV per formula unit
- DOS at the Fermi energy: 1.80 states/eV per atom

Structure (POSCAR):
```
La3YZr
1.0
5.642 0.000 0.000
0.000 5.642 0.000
0.000 0.000 5.642
Y Zr La
1 1 3
Cartesian
2.821 2.821 2.821
0.000 0.000 0.000
0.000 2.821 0.000
0.000 0.000 2.821
2.821 0.000 0.000
```

No. 5
VASP calculation (SCAN) on a crystal of La2MoPt relaxed with PBEsol.

Values from the calculation:
- Space group: Cmm2
- Relative energy among the computed polymorphs: 0 meV per atom
- Energy of formation: -0.31 eV per formula unit
- DOS at the Fermi energy: 1.05 states/eV per atom

Structure (POSCAR):
```
La2MoPt
1.0
3.354 0.031 0.000
-0.241 3.346 0.000
0.000 0.000 8.732
La Mo Pt
2 1 1
Cartesian
0.000 0.000 0.617
1.557 1.688 5.978
0.000 0.000 3.839
1.557 1.688 2.664
```

No. 6
VASP calculation (SCAN) on a crystal of LiAg2Rh relaxed with PBEsol.

Values from the calculation:
- Space group: R-3m
- Energy of formation: 0.15 eV per formula unit
- DOS at the Fermi energy: 0.53 states/eV per atom

Structure (POSCAR):
```
LiAg2Rh
1.0
2.760 0.000 0.000
1.380 2.390 0.000
1.380 0.797 9.107
Ag Li Rh
2 1 1
Cartesian
1.380 0.797 2.311
4.140 2.390 6.796
2.760 1.593 4.554
0.000 0.000 0.000
```

No. 7
VASP calculation (SCAN) on a crystal of Na2TcAgF relaxed with PBEsol.

Values from the calculation:
- Space group: P4/mmm
- DFT total energy: -14.974 eV per atom
- DOS at the Fermi energy: 0.70 states/eV per atom

Structure (POSCAR):
```
Na2TcAgF
1.0
4.952 0.000 0.000
0.000 5.850 0.000
0.000 0.000 5.850
Na Tc Ag F
2 1 1 1
Cartesian
0.000 0.000 2.925
0.000 2.925 0.000
0.000 0.000 0.000
2.476 0.000 0.000
2.476 2.925 2.925
```

No. 8
VASP calculation (SCAN) on a crystal of Ta2AgHg relaxed with PBEsol.

Values from the calculation:
- Space group: P2/m
- Energy of formation: 1.38 eV per formula unit
- DOS at the Fermi energy: 0.73 states/eV per atom

Structure (POSCAR):
```
Ta2AgHg
1.0
-2.457 0.590 1.437
0.656 -4.032 2.776
2.353 4.009 2.377
Hg Ag Ta
1 1 2
Cartesian
1.504 -0.011 2.576
-0.052 2.299 1.907
0.000 0.000 0.000
-0.900 -1.721 2.106
```

No. 9
VASP calculation (SCAN) on a crystal of Sr2CaBe relaxed with PBEsol.

Values from the calculation:
- Space group: I-4m2
- Energy of formation: 2.00 eV per formula unit
- DOS at the Fermi energy: 0.42 states/eV per atom

Structure (POSCAR):
```
Sr2CaBe
1.0
-3.475 3.767 2.495
-4.423 -3.478 -0.909
4.602 -1.909 2.780
Sr Ca Be
2 1 1
Cartesian
0.000 0.000 0.000
-1.411 1.002 3.034
-1.885 -2.621 1.332
-3.949 0.145 0.793
```

No. 10
VASP calculation (SCAN) on a crystal of ZrAgP2 relaxed with PBEsol.

Values from the calculation:
- Space group: P4/mmm
- Relative energy among the computed polymorphs: 181 meV per atom
- Energy of formation: -1.44 eV per formula unit
- DOS at the Fermi energy: 0.72 states/eV per atom

Structure (POSCAR):
```
ZrAgP2
1.0
3.373 0.345 0.000
-0.344 3.373 0.000
0.000 0.000 5.902
Ag P Zr
1 2 1
Cartesian
1.514 1.859 0.000
0.000 0.000 1.700
0.000 0.000 4.202
1.514 1.859 2.951
```

No. 11
VASP calculation (SCAN) on a crystal of CaZn4Pt relaxed with PBEsol.

Values from the calculation:
- Space group: F-43m
- Energy of formation: -2.94 eV per formula unit
- DOS at the Fermi energy: 0.00 states/eV per atom

Structure (POSCAR):
```
CaZn4Pt
1.0
5.055 0.000 0.000
2.527 4.378 0.000
2.527 1.459 4.127
Zn Ca Pt
4 1 1
Cartesian
3.780 2.182 1.543
5.055 2.918 3.625
6.330 2.182 1.543
5.055 4.391 1.543
7.582 4.378 3.095
0.000 0.000 0.000
```

No. 12
VASP calculation (SCAN) on a crystal of TaCuTc relaxed with PBEsol.

Values from the calculation:
- Space group: Imm2
- Relative energy among the computed polymorphs: 59 meV per atom
- Energy of formation: 0.15 eV per formula unit
- DOS at the Fermi energy: 0.66 states/eV per atom

Structure (POSCAR):
```
TaCuTc
1.0
-0.341 -1.922 -1.682
2.858 -2.196 1.929
-4.156 0.434 2.320
Cu Ta Tc
1 1 1
Cartesian
-0.020 -0.011 0.017
-1.942 -1.089 1.638
0.324 -2.583 0.912
```